A geometry-optimized ZnCr2C structure, computed with PBE.

Results
E, eV/atom: -6.36
Energy relative to the lowest polymorph listed for this composition, meV/atom: 1091.4
Energy of formation, eV/atom: 1.0801
Space-group type: No. 225

Structure (POSCAR):
```
ZnCr2C
1.0
0.000 2.754 2.754
2.754 0.000 2.754
2.754 2.754 0.000
Cr C Zn
2 1 1
direct
0.750 0.750 0.750 Cr
0.250 0.250 0.250 Cr
0.000 0.000 0.000 C
0.500 0.500 0.500 Zn
```